a:
VASP calculation (PBEsol) on a relaxed SrFeCl2 crystal.

Structure (CIF):
```
data_SrFeCl2
_cell_length_a 4.166
_cell_length_b 4.050
_cell_length_c 5.515
_cell_angle_alpha 90.00
_cell_angle_beta 111.29
_cell_angle_gamma 90.00
_space_group_name_H-M_alt 'P 1 m 1'
_space_group_IT_number 6
_space_group_name_Hall 'P -2y'
loop_
_atom_site_label
_atom_site_type_symbol
_atom_site_fract_x
_atom_site_fract_y
_atom_site_fract_z
Sr1 Sr 0.000 0.000 0.000
Fe1 Fe 0.897 0.500 0.470
Cl1 Cl 0.407 0.500 0.830
Cl2 Cl 0.699 0.000 0.403
```

Computed properties:
* mass density: 4.11 g cm⁻³


b:
VASP calculation (PBEsol) on a relaxed SrFeCl2 crystal.

Structure (CIF):
```
data_SrFeCl2
_cell_length_a 6.979
_cell_length_b 6.979
_cell_length_c 6.979
_cell_angle_alpha 90.00
_cell_angle_beta 90.00
_cell_angle_gamma 90.00
_space_group_name_H-M_alt 'F m -3 m'
_space_group_IT_number 225
_space_group_name_Hall '-F 4 2 3'
loop_
_atom_site_label
_atom_site_type_symbol
_atom_site_fract_x
_atom_site_fract_y
_atom_site_fract_z
Sr1 Sr 0.000 0.000 0.000
Fe1 Fe 0.000 0.000 0.500
Cl1 Cl 0.250 0.250 0.250
```

Computed properties:
* mass density: 4.19 g cm⁻³


Result of the stability comparison: a is the most stable of them.


a:
VASP calculation (PBEsol) on a relaxed TaFeCl crystal.

Structure (CIF):
```
data_TaFeCl
_cell_length_a 3.191
_cell_length_b 4.931
_cell_length_c 12.205
_cell_angle_alpha 90.00
_cell_angle_beta 90.00
_cell_angle_gamma 90.00
_space_group_name_H-M_alt 'F m m 2'
_space_group_IT_number 42
_space_group_name_Hall 'F 2 -2'
loop_
_atom_site_label
_atom_site_type_symbol
_atom_site_fract_x
_atom_site_fract_y
_atom_site_fract_z
Ta1 Ta 0.000 0.000 0.000
Fe1 Fe 0.000 0.000 0.650
Cl1 Cl 0.000 0.000 0.329
```

Computed properties:
* mass density: 9.42 g cm⁻³


b:
VASP calculation (PBEsol) on a relaxed TaFeCl crystal.

Structure (CIF):
```
data_TaFeCl
_cell_length_a 5.591
_cell_length_b 5.591
_cell_length_c 5.591
_cell_angle_alpha 90.00
_cell_angle_beta 90.00
_cell_angle_gamma 90.00
_space_group_name_H-M_alt 'F -4 3 m'
_space_group_IT_number 216
_space_group_name_Hall 'F -4 2 3'
loop_
_atom_site_label
_atom_site_type_symbol
_atom_site_fract_x
_atom_site_fract_y
_atom_site_fract_z
Ta1 Ta 0.000 0.000 0.000
Fe1 Fe 0.000 0.000 0.500
Cl1 Cl 0.250 0.250 0.750
```

Computed properties:
* mass density: 10.35 g cm⁻³


Result of the stability comparison: a is the most stable of them.


a:
VASP calculation (PBEsol) on a relaxed Ta2FeCl crystal.

Structure (CIF):
```
data_Ta2FeCl
_cell_length_a 4.514
_cell_length_b 4.514
_cell_length_c 2.833
_cell_angle_alpha 90.00
_cell_angle_beta 90.00
_cell_angle_gamma 90.00
_space_group_name_H-M_alt 'P 4/m m m'
_space_group_IT_number 123
_space_group_name_Hall '-P 4 2'
loop_
_atom_site_label
_atom_site_type_symbol
_atom_site_fract_x
_atom_site_fract_y
_atom_site_fract_z
Ta1 Ta 0.000 0.500 0.000
Fe1 Fe 0.000 0.000 0.500
Cl1 Cl 0.500 0.500 0.500
```

Computed properties:
* mass density: 13.03 g cm⁻³


b:
VASP calculation (PBEsol) on a relaxed Ta2FeCl crystal.

Structure (CIF):
```
data_Ta2FeCl
_cell_length_a 2.879
_cell_length_b 4.459
_cell_length_c 9.037
_cell_angle_alpha 90.00
_cell_angle_beta 90.00
_cell_angle_gamma 90.00
_space_group_name_H-M_alt 'I m m 2'
_space_group_IT_number 44
_space_group_name_Hall 'I 2 -2'
loop_
_atom_site_label
_atom_site_type_symbol
_atom_site_fract_x
_atom_site_fract_y
_atom_site_fract_z
Ta1 Ta 0.000 0.000 0.000
Ta2 Ta 0.000 0.500 0.207
Fe1 Fe 0.000 0.000 0.462
Cl1 Cl 0.000 0.500 0.747
```

Computed properties:
* mass density: 12.97 g cm⁻³


c:
VASP calculation (PBEsol) on a relaxed Ta2FeCl crystal.

Structure (CIF):
```
data_Ta2FeCl
_cell_length_a 8.864
_cell_length_b 2.909
_cell_length_c 4.690
_cell_angle_alpha 90.00
_cell_angle_beta 102.58
_cell_angle_gamma 90.00
_space_group_name_H-M_alt 'C 1 m 1'
_space_group_IT_number 8
_space_group_name_Hall 'C -2y'
loop_
_atom_site_label
_atom_site_type_symbol
_atom_site_fract_x
_atom_site_fract_y
_atom_site_fract_z
Ta1 Ta 0.000 0.000 0.000
Ta2 Ta 0.218 0.000 0.589
Fe1 Fe 0.228 0.500 0.098
Cl1 Cl 0.481 0.000 0.472
```

Computed properties:
* mass density: 12.75 g cm⁻³


Result of the stability comparison: c is the most stable of them.


a:
VASP calculation (PBEsol) on a relaxed Fe2TcCl crystal.

Structure (CIF):
```
data_Fe2TcCl
_cell_length_a 5.854
_cell_length_b 5.854
_cell_length_c 5.854
_cell_angle_alpha 90.00
_cell_angle_beta 90.00
_cell_angle_gamma 90.00
_space_group_name_H-M_alt 'F m -3 m'
_space_group_IT_number 225
_space_group_name_Hall '-F 4 2 3'
loop_
_atom_site_label
_atom_site_type_symbol
_atom_site_fract_x
_atom_site_fract_y
_atom_site_fract_z
Fe1 Fe 0.250 0.250 0.250
Tc1 Tc 0.000 0.000 0.000
Cl1 Cl 0.000 0.000 0.500
```

Computed properties:
* mass density: 8.12 g cm⁻³


b:
VASP calculation (PBEsol) on a relaxed Fe2TcCl crystal.

Structure (CIF):
```
data_Fe2TcCl
_cell_length_a 5.819
_cell_length_b 5.819
_cell_length_c 5.819
_cell_angle_alpha 90.00
_cell_angle_beta 90.00
_cell_angle_gamma 90.00
_space_group_name_H-M_alt 'F -4 3 m'
_space_group_IT_number 216
_space_group_name_Hall 'F -4 2 3'
loop_
_atom_site_label
_atom_site_type_symbol
_atom_site_fract_x
_atom_site_fract_y
_atom_site_fract_z
Fe1 Fe 0.000 0.000 0.000
Fe2 Fe 0.250 0.250 0.250
Tc1 Tc 0.000 0.000 0.500
Cl1 Cl 0.250 0.250 0.750
```

Computed properties:
* mass density: 8.27 g cm⁻³


Result of the stability comparison: b is the most stable of them.


a:
VASP calculation (PBEsol) on a relaxed Fe2TcCl crystal.

Structure (CIF):
```
data_Fe2TcCl
_cell_length_a 2.898
_cell_length_b 4.630
_cell_length_c 8.024
_cell_angle_alpha 90.00
_cell_angle_beta 90.00
_cell_angle_gamma 90.00
_space_group_name_H-M_alt 'C m m 2'
_space_group_IT_number 35
_space_group_name_Hall 'C 2 -2'
loop_
_atom_site_label
_atom_site_type_symbol
_atom_site_fract_x
_atom_site_fract_y
_atom_site_fract_z
Fe1 Fe 0.000 0.000 0.000
Fe2 Fe 0.000 0.500 0.237
Tc1 Tc 0.000 0.000 0.482
Cl1 Cl 0.000 0.500 0.763
```

Computed properties:
* mass density: 7.56 g cm⁻³


b:
VASP calculation (PBEsol) on a relaxed Fe2TcCl crystal.

Structure (CIF):
```
data_Fe2TcCl
_cell_length_a 2.747
_cell_length_b 4.199
_cell_length_c 4.415
_cell_angle_alpha 90.00
_cell_angle_beta 90.00
_cell_angle_gamma 90.00
_space_group_name_H-M_alt 'P m m m'
_space_group_IT_number 47
_space_group_name_Hall '-P 2 2'
loop_
_atom_site_label
_atom_site_type_symbol
_atom_site_fract_x
_atom_site_fract_y
_atom_site_fract_z
Fe1 Fe 0.000 0.000 0.000
Fe2 Fe 0.500 0.500 0.000
Tc1 Tc 0.000 0.500 0.500
Cl1 Cl 0.500 0.000 0.500
```

Computed properties:
* mass density: 7.99 g cm⁻³


Result of the stability comparison: a is the most stable of them.


a:
VASP calculation (PBEsol) on a relaxed FeTeCl2 crystal.

Structure (CIF):
```
data_FeTeCl2
_cell_length_a 5.025
_cell_length_b 5.025
_cell_length_c 3.186
_cell_angle_alpha 90.00
_cell_angle_beta 90.00
_cell_angle_gamma 90.00
_space_group_name_H-M_alt 'P 4/m m m'
_space_group_IT_number 123
_space_group_name_Hall '-P 4 2'
loop_
_atom_site_label
_atom_site_type_symbol
_atom_site_fract_x
_atom_site_fract_y
_atom_site_fract_z
Fe1 Fe 0.000 0.000 0.000
Te1 Te 0.500 0.500 0.000
Cl1 Cl 0.000 0.500 0.500
```

Computed properties:
* mass density: 5.25 g cm⁻³


b:
VASP calculation (PBEsol) on a relaxed FeTeCl2 crystal.

Structure (CIF):
```
data_FeTeCl2
_cell_length_a 4.174
_cell_length_b 4.337
_cell_length_c 10.028
_cell_angle_alpha 90.00
_cell_angle_beta 90.00
_cell_angle_gamma 90.00
_space_group_name_H-M_alt 'C m m m'
_space_group_IT_number 65
_space_group_name_Hall '-C 2 2'
loop_
_atom_site_label
_atom_site_type_symbol
_atom_site_fract_x
_atom_site_fract_y
_atom_site_fract_z
Fe1 Fe 0.000 0.000 0.000
Te1 Te 0.000 0.000 0.500
Cl1 Cl 0.000 0.500 0.148
```

Computed properties:
* mass density: 4.65 g cm⁻³


c:
VASP calculation (PBEsol) on a relaxed FeTeCl2 crystal.

Structure (CIF):
```
data_FeTeCl2
_cell_length_a 5.914
_cell_length_b 6.442
_cell_length_c 8.778
_cell_angle_alpha 90.00
_cell_angle_beta 90.00
_cell_angle_gamma 90.00
_space_group_name_H-M_alt 'F m m m'
_space_group_IT_number 69
_space_group_name_Hall '-F 2 2'
loop_
_atom_site_label
_atom_site_type_symbol
_atom_site_fract_x
_atom_site_fract_y
_atom_site_fract_z
Fe1 Fe 0.000 0.000 0.000
Te1 Te 0.000 0.000 0.500
Cl1 Cl 0.000 0.250 0.250
```

Computed properties:
* mass density: 5.05 g cm⁻³


Result of the stability comparison: b is the most stable of them.